Computed, not measured: an optimized crystal structure of TlAg2SeBr8 at the PBE level of DFT.

Computed properties:
Magnetization, μB/cell: 0.00
Mass density, Mg/m³: 4.85
Formation energy (no corrections), eV per atom: -0.2665

a = 6.6813 Å, b = 6.7473 Å, c = 8.7373 Å
α = 95.72°, β = 95.93°, γ = 90.51°
Last column: nearest neighbours and their distance in Å.
Element x y z (fractional)
Tl 0.0000 0.0000 0.0000  6 Br 2.98-3.19
Ag 0.4406 0.4424 0.7685  3 Br 2.63-2.73
Ag 0.5594 0.5576 0.2315  3 Br 2.63-2.73
Se 0.0000 0.0000 0.5000  6 Br 2.63-2.64
Br 0.1834 0.7862 0.2891  1 Se 2.64
Br 0.2318 0.8365 0.7128  1 Se 2.63
Br 0.2650 0.2901 0.4990  1 Ag 2.63, 1 Se 2.63
Br 0.3137 0.3219 0.0320  2 Ag 2.66-2.73, 1 Tl 2.98
Br 0.6863 0.6781 0.9680  2 Ag 2.66-2.73, 1 Tl 2.98
Br 0.7350 0.7099 0.5010  1 Ag 2.63, 1 Se 2.63
Br 0.7682 0.1635 0.2872  1 Se 2.63
Br 0.8166 0.2138 0.7109  1 Se 2.64



Computed, not measured: an optimized crystal structure of InSnMoRh2 at the PBE level of DFT.

Computed properties:
Formation enthalpy at 0 K, meV per atom: 1181
Magnetization, μB/cell: 2.91
Mass density, Mg/m³: 7.54

a = 4.8381 Å, b = 4.8381 Å, c = 5.0388 Å
α = 90.00°, β = 90.00°, γ = 90.00°
Last column: nearest neighbours and their distance in Å.
Element x y z (fractional)
In 0.0000 0.0000 0.0000  4 Mo 3.42, 8 Rh 3.49
Sn 0.5000 0.5000 0.5000  4 Rh 2.42, 2 Mo 2.52
Mo 0.5000 0.5000 0.0000  2 Sn 2.52
Rh 0.0000 0.5000 0.5000  2 Sn 2.42
Rh 0.5000 0.0000 0.5000  2 Sn 2.42



Computed, not measured: an optimized crystal structure of ScMnOs2 at the PBE level of DFT.

Computed properties:
Formation enthalpy at 0 K, meV per atom: 64
Magnetization, μB/cell: 2.59
Mass density, Mg/m³: 13.18

a = 2.7824 Å, b = 4.3777 Å, c = 5.0220 Å
α = 90.00°, β = 98.33°, γ = 90.00°
Last column: nearest neighbours and their distance in Å.
Element x y z (fractional)
Sc 0.0000 0.0000 0.0000  2 Mn 2.69, 4 Os 2.76, 2 Sc 2.78
Mn 0.5000 0.0000 0.5000  4 Os 2.58, 2 Sc 2.69, 2 Mn 2.78
Os 0.2970 0.5000 0.7324  2 Mn 2.58, 5 Os 2.66-2.78, 2 Sc 2.76
Os 0.7030 0.5000 0.2676  2 Mn 2.58, 5 Os 2.66-2.78, 2 Sc 2.76



Computed, not measured: an optimized crystal structure of B2PdO at the PBE level of DFT.

Computed properties:
Magnetization, μB/cell: 0.00
Mass density, Mg/m³: 6.54
Formation energy (no corrections), eV per atom: -0.0847

a = 4.6757 Å, b = 4.6757 Å, c = 4.6757 Å
α = 119.20°, β = 119.20°, γ = 91.39°
Last column: nearest neighbours and their distance in Å.
Element x y z (fractional)
B 0.0435 0.6250 0.9185  2 O 1.64
B 0.3750 0.2935 0.4185  2 O 1.64
B 0.7065 0.1250 0.0815  2 O 1.64
B 0.8750 0.9565 0.5815  2 O 1.64
Pd 0.2500 0.7500 0.5000  4 B 2.13
Pd 0.5000 0.5000 0.0000  4 B 2.13
O 0.0000 0.0000 0.0000  4 B 1.64
O 0.7500 0.2500 0.5000  4 B 1.64



Computed, not measured: an optimized crystal structure of Sr2CuAs at the PBE level of DFT.

Computed properties:
Formation enthalpy at 0 K, meV per atom: -536
Magnetization, μB/cell: 0.00
Mass density, Mg/m³: 4.78

a = 5.2877 Å, b = 5.2877 Å, c = 3.8976 Å
α = 90.00°, β = 90.00°, γ = 90.00°
Last column: nearest neighbours and their distance in Å.
Element x y z (fractional)
Sr 0.0000 0.5000 0.0000  4 As 3.28, 4 Cu 3.28
Sr 0.5000 0.0000 0.0000  4 As 3.28, 4 Cu 3.28
Cu 0.0000 0.0000 0.5000  8 Sr 3.28
As 0.5000 0.5000 0.5000  8 Sr 3.28



Computed, not measured: an optimized crystal structure of ZrRhAu4 at the PBE level of DFT.

Computed properties:
Formation enthalpy at 0 K, meV per atom: -78
Magnetization, μB/cell: 0.00
Mass density, Mg/m³: 14.65
ΔE to the lowest computed polymorph, meV per atom: 220.5

a = 5.3994 Å, b = 5.3994 Å, c = 5.3994 Å
α = 60.00°, β = 60.00°, γ = 60.00°
Last column: nearest neighbours and their distance in Å.
Element x y z (fractional)
Zr 0.0000 0.0000 0.0000  12 Au 3.17, 4 Rh 3.31
Rh 0.2500 0.2500 0.2500  12 Au 3.17, 4 Zr 3.31
Au 0.1256 0.6248 0.6248  6 Au 2.70
Au 0.6248 0.1256 0.6248  6 Au 2.70
Au 0.6248 0.6248 0.1256  6 Au 2.70
Au 0.6248 0.6248 0.6248  6 Au 2.70



Computed, not measured: an optimized crystal structure of BaFeIr2 at the PBE level of DFT.

Computed properties:
Formation enthalpy at 0 K, meV per atom: 358
Magnetization, μB/cell: 3.64
Mass density, Mg/m³: 12.59

a = 3.1109 Å, b = 3.1109 Å, c = 7.8702 Å
α = 90.00°, β = 90.00°, γ = 90.00°
Last column: nearest neighbours and their distance in Å.
Element x y z (fractional)
Ba 0.0000 0.0000 0.0000  4 Ba 3.11, 8 Ir 3.36
Fe 0.0000 0.0000 0.5000  8 Ir 2.61
Ir 0.5000 0.5000 0.3222  4 Fe 2.61, 1 Ir 2.80
Ir 0.5000 0.5000 0.6778  4 Fe 2.61, 1 Ir 2.80



Computed, not measured: an optimized crystal structure of Rb2SnTe4As at the PBE level of DFT.

Computed properties:
Magnetization, μB/cell: 0.00
Mass density, Mg/m³: 4.32
Formation energy (no corrections), eV per atom: -0.4631

a = 14.4427 Å, b = 12.6439 Å, c = 8.5919 Å
α = 83.37°, β = 60.41°, γ = 36.22°
Last column: nearest neighbours and their distance in Å.
Element x y z (fractional)
Rb 0.0639 0.0639 0.6861  6 Te 3.72-4.08
Rb 0.3139 0.3139 0.9361  6 Te 3.72-4.08
Rb 0.6861 0.6861 0.0639  6 Te 3.72-4.08
Rb 0.9361 0.9361 0.3139  6 Te 3.72-4.08
Sn 0.3750 0.3750 0.3750  4 Te 3.00
Sn 0.6250 0.6250 0.6250  4 Te 3.00
Te 0.0702 0.3136 0.3846  1 As 2.78, 1 Sn 3.00
Te 0.2684 0.6154 0.6864  1 As 2.78, 1 Sn 3.00
Te 0.3136 0.0702 0.7316  1 As 2.78, 1 Sn 3.00
Te 0.3846 0.7316 0.0702  1 As 2.78, 1 Sn 3.00
Te 0.6154 0.2684 0.9298  1 As 2.78, 1 Sn 3.00
Te 0.6864 0.9298 0.2684  1 As 2.78, 1 Sn 3.00
Te 0.7316 0.3846 0.3136  1 As 2.78, 1 Sn 3.00
Te 0.9298 0.6864 0.6154  1 As 2.78, 1 Sn 3.00
As 0.1250 0.1250 0.1250  4 Te 2.78
As 0.8750 0.8750 0.8750  4 Te 2.78



| no. | DOS(E_F) (states/eV per atom) |
| --- | --- |
| 1 | 0.246 |
| 2 | 1.029 |
| 3 | 1.226 |
| 4 | 0.002 |
| 5 | 0.160 |
| 6 | 0.536 |
| 7 | 1.241 |
| 8 | 0.350 |